Entry 1:
The following is a PBE calculation of a relaxed Nd2HoScO6 crystal, from Alexandria via LeMat-Bulk.

Values from the calculation:
* E: -169.384 eV/cell
* spin magnetization: 0.000 μB/atom

abc: 5.7058 5.9555 8.3016
angles: 90.00 90.39 90.00
Closest atoms and distances in Å follow each position.
Atoms (fractional coordinates):
Nd 0.0189 0.9443 0.2506  4 O 2.34-2.46
Nd 0.5189 0.5557 0.7506  4 O 2.34-2.46
Nd 0.9811 0.0557 0.7494  4 O 2.34-2.46
Nd 0.4811 0.4443 0.2494  4 O 2.34-2.46
Ho 0.5000 0.0000 0.0000  6 O 2.23-2.27
Ho 0.0000 0.5000 0.5000  6 O 2.23-2.27
Sc 0.5000 0.0000 0.5000  6 O 2.11-2.17
Sc 0.0000 0.5000 0.0000  6 O 2.11-2.17
O 0.2970 0.6906 0.0651  1 Sc 2.11, 1 Ho 2.24
O 0.7970 0.8094 0.5651  1 Sc 2.11, 1 Ho 2.24
O 0.7030 0.3094 0.9349  1 Sc 2.11, 1 Ho 2.24
O 0.2030 0.1906 0.4349  1 Sc 2.11, 1 Ho 2.24
O 0.3125 0.7034 0.4310  1 Sc 2.14, 1 Ho 2.23, 1 Nd 2.37
O 0.8125 0.7966 0.9310  1 Sc 2.14, 1 Ho 2.23, 1 Nd 2.37
O 0.6875 0.2966 0.5690  1 Sc 2.14, 1 Ho 2.23, 1 Nd 2.37
O 0.1875 0.2034 0.0690  1 Sc 2.14, 1 Ho 2.23, 1 Nd 2.37
O 0.8740 0.5548 0.2425  1 Sc 2.17, 1 Ho 2.27, 1 Nd 2.34
O 0.3740 0.9452 0.7425  1 Sc 2.17, 1 Ho 2.27, 1 Nd 2.34
O 0.1260 0.4452 0.7575  1 Sc 2.17, 1 Ho 2.27, 1 Nd 2.34
O 0.6260 0.0548 0.2575  1 Sc 2.17, 1 Ho 2.27, 1 Nd 2.34

Entry 2:
The following is a PBE calculation of a relaxed Nd2HoSe2O2 crystal, from Alexandria via LeMat-Bulk.

Values from the calculation:
* E: -47.713 eV/cell
* spin magnetization: 0.000 μB/atom

abc: 4.3121 4.3121 8.3855
angles: 104.90 104.90 90.00
Closest atoms and distances in Å follow each position.
Atoms (fractional coordinates):
Nd 0.3729 0.3729 0.7459  4 O 2.93, 5 Se 3.01-3.16
Nd 0.6271 0.6271 0.2541  4 O 2.93, 5 Se 3.01-3.16
Ho 0.0000 0.0000 0.0000  4 O 2.16
Se 0.1801 0.1801 0.3602  1 Ho 2.81, 1 Nd 3.01
Se 0.8199 0.8199 0.6398  1 Ho 2.81, 1 Nd 3.01
O 0.0000 0.5000 0.0000  2 Ho 2.16
O 0.5000 0.0000 0.0000  2 Ho 2.16

Entry 3:
The following is a PBE calculation of a relaxed Nd2Ho4Sn3O2 crystal, from Alexandria via LeMat-Bulk.

Values from the calculation:
* E: -66.711 eV/cell
* spin magnetization: 0.000 μB/atom

abc: 4.6486 4.6486 13.1382
angles: 100.19 100.19 90.00
Closest atoms and distances in Å follow each position.
Atoms (fractional coordinates):
Nd 0.3048 0.3048 0.6097  1 O 2.62
Nd 0.6952 0.6952 0.3903  1 O 2.62
Ho 0.4182 0.9182 0.8364  2 O 2.34
Ho 0.9182 0.4182 0.8364  2 O 2.34
Ho 0.0818 0.5818 0.1636  2 O 2.34
Ho 0.5818 0.0818 0.1636  2 O 2.34
Sn 0.0000 0.0000 0.0000  8 Ho 3.12
Sn 0.1743 0.1743 0.3486  4 Ho 3.31, 5 Nd 3.32-3.33
Sn 0.8257 0.8257 0.6514  4 Ho 3.31, 5 Nd 3.32-3.33
O 0.4078 0.4078 0.8157  4 Ho 2.34
O 0.5922 0.5922 0.1843  4 Ho 2.34

Entry 4:
The following is a PBE calculation of a relaxed NdHo2TcO8 crystal, from Alexandria via LeMat-Bulk.

Values from the calculation:
* E: -95.237 eV/cell
* spin magnetization: 0.000 μB/atom

abc: 5.0675 5.0622 6.8331
angles: 90.00 90.00 89.69
Closest atoms and distances in Å follow each position.
Atoms (fractional coordinates):
Nd 0.0000 0.0000 0.5000  6 O 2.27-2.43
Ho 0.5000 0.5000 0.7491  6 O 2.16-2.40
Ho 0.5000 0.5000 0.2509  6 O 2.16-2.40
Tc 0.0000 0.0000 0.0000  6 O 1.91
O 0.1843 0.8145 0.2020  1 Tc 1.91
O 0.7335 0.7345 0.0000  1 Tc 1.91
O 0.8157 0.1855 0.2020  1 Tc 1.91
O 0.8157 0.1855 0.7980  1 Tc 1.91
O 0.2665 0.2655 0.0000  1 Tc 1.91
O 0.1843 0.8145 0.7980  1 Tc 1.91
O 0.6834 0.6848 0.5000  2 Ho 2.16, 1 Nd 2.27
O 0.3166 0.3152 0.5000  2 Ho 2.16, 1 Nd 2.27

Entry 5:
The following is a PBE calculation of a relaxed NdHoTeO2 crystal, from Alexandria via LeMat-Bulk.

Values from the calculation:
* E: -74.073 eV/cell
* spin magnetization: 0.000 μB/atom

abc: 4.1413 6.9234 7.8955
angles: 107.18 90.00 90.00
Closest atoms and distances in Å follow each position.
Atoms (fractional coordinates):
Nd 0.2500 0.6788 0.9249  4 O 2.33-2.41
Nd 0.7500 0.3212 0.0751  4 O 2.33-2.41
Ho 0.2500 0.6556 0.4129  4 O 2.21-2.28
Ho 0.7500 0.3444 0.5871  4 O 2.21-2.28
Te 0.2500 0.0488 0.7490  3 Ho 3.19-3.41, 3 Nd 3.25-3.41, 2 O 3.52-3.57
Te 0.7500 0.9512 0.2510  3 Ho 3.19-3.41, 3 Nd 3.25-3.41, 2 O 3.52-3.57
O 0.7500 0.5102 0.3853  3 Ho 2.22-2.28, 1 Nd 2.41
O 0.2500 0.4898 0.6147  3 Ho 2.22-2.28, 1 Nd 2.41
O 0.7500 0.5164 0.8714  1 Ho 2.21, 3 Nd 2.33-2.39
O 0.2500 0.4836 0.1286  1 Ho 2.21, 3 Nd 2.33-2.39

Entry 6:
The following is a PBE calculation of a relaxed NdHoTeO6 crystal, from Alexandria via LeMat-Bulk.

Values from the calculation:
* E: -128.475 eV/cell
* spin magnetization: 0.000 μB/atom

abc: 5.5831 5.5831 9.8642
angles: 90.00 90.00 120.00
Closest atoms and distances in Å follow each position.
Atoms (fractional coordinates):
Nd 0.0000 0.0000 0.0000  6 O 2.43
Nd 0.0000 0.0000 0.5000  6 O 2.43
Ho 0.3333 0.6667 0.2500  6 O 2.26
Ho 0.6667 0.3333 0.7500  6 O 2.26
Te 0.6667 0.3333 0.2500  6 O 1.96
Te 0.3333 0.6667 0.7500  6 O 1.96
O 0.6628 0.6219 0.1385  1 Te 1.96
O 0.9590 0.3372 0.1385  1 Te 1.96
O 0.3372 0.9590 0.6385  1 Te 1.96
O 0.0410 0.6628 0.8615  1 Te 1.96
O 0.3781 0.3372 0.3615  1 Te 1.96
O 0.9590 0.6219 0.3615  1 Te 1.96
O 0.6219 0.9590 0.8615  1 Te 1.96
O 0.6628 0.0410 0.3615  1 Te 1.96
O 0.0410 0.3781 0.6385  1 Te 1.96
O 0.3781 0.0410 0.1385  1 Te 1.96
O 0.6219 0.6628 0.6385  1 Te 1.96
O 0.3372 0.3781 0.8615  1 Te 1.96